A relaxed structure of Pr2Nd6Dy, computed with PBE-GGA.

Results
volume: 34.831 A^3/atom
ΔE to the lowest computed polymorph: 0 meV/atom
total magnetic moment: 0.000 μB/cell
ΔH_f (0 K): 45 kJ/mol of formula units
DOS(E_F): 1.386 states/eV/atom
electronic total energy: -4.701 eV/atom
density: 6.94 g cm⁻³

```
data_Pr2Nd6Dy
_chemical_formula_sum 'Pr4 Nd12 Dy2'
_space_group_name_H-M_alt 'C m m m'
_space_group_IT_number 65
_space_group_name_Hall '-C 2 2'
_cell_length_a 10.027
_cell_length_b 17.448
_cell_length_c 3.584
_cell_angle_alpha 90.00
_cell_angle_beta 90.00
_cell_angle_gamma 90.00
loop_
_atom_site_label
_atom_site_type_symbol
_atom_site_fract_x
_atom_site_fract_y
_atom_site_fract_z
Pr1 Pr 0.000 0.167 0.000
Nd1 Nd 0.166 0.335 0.500
Nd2 Nd 0.169 0.000 0.500
Dy1 Dy 0.000 0.500 0.000
```